[1]
Crystalline TbErTl4 at its relaxed geometry, computed with GGA-PBE.

Cell: 5.0029 5.0050 7.6284 Å, 89.97 89.98 89.89°
Atoms (fractional coordinates):
Tb1 0.5013 0.4971 0.9981
Er1 0.0012 0.9975 0.4981
Tl1 0.5014 0.9969 0.2519
Tl2 0.5011 0.9973 0.7444
Tl3 0.0015 0.4972 0.7442
Tl4 0.0012 0.4977 0.2521

Spin magnetization = 0.00 μB per formula unit
SG = Cmmm (65)
Formation energy from the elements = 0.01 eV per atom
Total DFT energy (no corrections) = -18.6 eV per formula unit

***

[2]
Crystalline K2SrCo at its relaxed geometry, computed with GGA-PBE.

Cell: 4.3457 4.3457 12.0282 Å, 81.01 81.01 58.80°
Site moments in Bohr magnetons follow the coordinates.
Atoms (fractional coordinates):
Co1 0.7547 0.7547 0.7346  1.68
K1 0.0319 0.0319 0.9164  -0.01
K2 0.2458 0.2458 0.2620  0.00
Sr1 0.4676 0.4676 0.5870  -0.08

Spin magnetization = 1.27 μB per formula unit
Energy above the most stable polymorph in this dataset = 61 meV/atom
SG = Cm (8)
Formation energy from the elements = 0.59 eV per atom
Total DFT energy (no corrections) = -8.6 eV per formula unit

***

[3]
Crystalline CsInGa2F8 at its relaxed geometry, computed with GGA-PBE.

Cell: 5.8311 5.8311 9.3936 Å, 90.00 90.00 120.00°
Atoms (fractional coordinates):
Cs1 0.0000 0.0000 0.0000
In1 0.0000 0.0000 0.5000
Ga1 0.6667 0.3333 0.2285
Ga2 0.3333 0.6667 0.7715
F1 0.3333 0.6667 0.9634
F2 0.3476 0.2726 0.2881
F3 0.7274 0.0751 0.2881
F4 0.6667 0.3333 0.0366
F5 0.2726 0.9249 0.7119
F6 0.6524 0.7274 0.7119
F7 0.0751 0.3476 0.7119
F8 0.9249 0.6524 0.2881

Spin magnetization = 0.00 μB per formula unit
SG = P-3 (147)
Total DFT energy (no corrections) = -54.5 eV per formula unit
Uncorrected formation energy = -2.492 eV per atom

***

[4]
Crystalline DyMg4Ga4 at its relaxed geometry, computed with GGA-PBE.

Cell: 6.5897 6.5897 8.9399 Å, 90.00 90.00 90.00°
Atoms (fractional coordinates):
Dy1 0.0000 0.0000 0.0000
Dy2 0.5000 0.5000 0.5000
Mg1 0.2395 0.5000 0.9009
Mg2 0.7605 0.5000 0.9009
Mg3 0.5000 0.7605 0.0991
Mg4 0.5000 0.2395 0.0991
Mg5 0.0000 0.7395 0.4009
Mg6 0.0000 0.2605 0.4009
Mg7 0.2605 0.0000 0.5991
Mg8 0.7395 0.0000 0.5991
Ga1 0.5000 0.7964 0.7943
Ga2 0.5000 0.2036 0.7943
Ga3 0.7964 0.5000 0.2057
Ga4 0.2036 0.5000 0.2057
Ga5 0.2964 0.0000 0.2943
Ga6 0.7036 0.0000 0.2943
Ga7 0.0000 0.2964 0.7057
Ga8 0.0000 0.7036 0.7057

Spin magnetization = 0.00 μB per formula unit
SG = P4_2/nmc (137)
Formation energy from the elements = -0.13 eV per atom
Total DFT energy (no corrections) = -24.3 eV per formula unit

***

[5]
Crystalline Pm5Er2Tm4 at its relaxed geometry, computed with GGA-PBE.

Cell: 3.5034 9.0270 12.6753 Å, 110.86 97.94 90.00°
Atoms (fractional coordinates):
Pm1 0.8547 0.0551 0.7093
Pm2 0.8547 0.6542 0.7093
Pm3 0.1453 0.3458 0.2907
Pm4 0.1453 0.9449 0.2907
Pm5 0.5000 0.0000 0.0000
Er1 0.2695 0.2695 0.5390
Er2 0.7305 0.7305 0.4610
Tm1 0.0000 0.3152 0.0000
Tm2 0.5965 0.5965 0.1931
Tm3 0.0000 0.6848 0.0000
Tm4 0.4035 0.4035 0.8069

Spin magnetization = 0.00 μB per formula unit
Energy above the most stable polymorph in this dataset = 70 meV/atom
SG = Immm (71)
Formation energy from the elements = 0.20 eV per atom
Total DFT energy (no corrections) = -48.6 eV per formula unit

***

[6]
Crystalline Nb4ZnN at its relaxed geometry, computed with GGA-PBE.

Cell: 5.6468 5.4186 7.6946 Å, 110.62 117.95 90.00°
Atoms (fractional coordinates):
Nb1 0.7255 0.4856 0.1898
Nb2 0.7678 0.0986 0.3978
Nb3 0.2255 0.7043 0.1898
Nb4 0.2678 0.2992 0.3978
Nb5 0.2322 0.9014 0.6022
Nb6 0.2745 0.5144 0.8102
Nb7 0.7322 0.7008 0.6022
Nb8 0.7745 0.2957 0.8102
Zn1 0.7500 0.9148 0.0000
Zn2 0.2500 0.0852 0.0000
N1 0.5000 0.0000 0.5000
N2 0.0000 0.5000 0.5000

Spin magnetization = 0.00 μB per formula unit
SG = C2/c (15)
Total DFT energy (no corrections) = -52.0 eV per formula unit
Uncorrected formation energy = -0.346 eV per atom

***

[7]
Crystalline BeAgSn3 at its relaxed geometry, computed with GGA-PBE.

Cell: 4.9416 4.9416 4.9416 Å, 90.00 90.00 90.00°
Atoms (fractional coordinates):
Be1 0.0000 0.0000 0.0000
Sn1 0.0000 0.5000 0.0000
Sn2 0.0000 0.0000 0.5000
Sn3 0.5000 0.0000 0.0000
Ag1 0.5000 0.5000 0.5000

Spin magnetization = 0.00 μB per formula unit
Energy above the most stable polymorph in this dataset = 0 meV/atom
SG = Pm-3m (221)
Formation energy from the elements = 0.40 eV per atom
Total DFT energy (no corrections) = -16.6 eV per formula unit